(1)
Entry from the Alexandria database: SrFeSb2 after structural relaxation (GGA-PBE).

Cell: 5.0897 4.6280 5.0714 Å, 89.97 90.00 90.00°
Last column: nearest neighbours and their distance in Å.
Element x y z (fractional)
1 Fe 0.5000 0.9999 0.7873  4 Sb 2.47-2.68
2 Sb 0.0000 0.9993 0.9518  2 Fe 2.68
3 Sb 0.5000 0.0008 0.2994  2 Fe 2.47-2.60
4 Sr 0.0000 0.5000 0.4614  8 Sb 3.40-3.54

**Crystal system**: orthorhombic



(2)
Entry from the Alexandria database: Sr2FeSb after structural relaxation (GGA-PBE).

Cell: 11.1759 11.1759 8.2606 Å, 47.43 47.43 90.00°
Last column: nearest neighbours and their distance in Å.
Element x y z (fractional)
1 Sb 0.0000 0.0000 0.0000  2 Fe 2.41
2 Sb 0.7500 0.2500 0.5000  2 Fe 2.41
3 Fe 0.5000 0.5000 0.0000  2 Sb 2.41
4 Fe 0.2500 0.7500 0.5000  2 Sb 2.41
5 Sr 0.4439 0.1250 0.2500  2 Fe 2.96
6 Sr 0.3061 0.6250 0.2500  2 Fe 2.96
7 Sr 0.3750 0.5561 0.7500  2 Fe 2.96
8 Sr 0.8750 0.6939 0.7500  2 Fe 2.96

**Crystal system**: tetragonal



(3)
Entry from the Alexandria database: SrFeSb2 after structural relaxation (GGA-PBE).

Cell: 8.1277 8.1277 8.1277 Å, 155.58 152.19 37.34°
Last column: nearest neighbours and their distance in Å.
Element x y z (fractional)
1 Fe 0.2075 0.7075 0.5000  6 Sb 2.60-2.77
2 Sb 0.0806 0.0806 0.0000  2 Fe 2.60
3 Sb 0.7687 0.2687 0.5000  4 Fe 2.77
4 Sr 0.4432 0.4432 0.0000  6 Sb 3.32-3.35, 2 Sr 3.44

**Crystal system**: orthorhombic



(4)
Entry from the Alexandria database: SrFeSb2 after structural relaxation (GGA-PBE).

Cell: 5.6186 5.6186 8.8403 Å, 71.47 71.47 90.00°
Last column: nearest neighbours and their distance in Å.
Element x y z (fractional)
1 Sb 0.4637 0.1250 0.2500  2 Fe 2.47
2 Sb 0.2863 0.6250 0.2500  2 Fe 2.47
3 Sb 0.3750 0.5363 0.7500  2 Fe 2.47
4 Sb 0.8750 0.7137 0.7500  2 Fe 2.47
5 Fe 0.5000 0.5000 0.0000  4 Sb 2.47
6 Fe 0.2500 0.7500 0.5000  4 Sb 2.47
7 Sr 0.0000 0.0000 0.0000  4 Sb 3.35
8 Sr 0.7500 0.2500 0.5000  4 Sb 3.35

**Crystal system**: tetragonal



(5)
Entry from the Alexandria database: Sr2FeSb after structural relaxation (GGA-PBE).

Cell: 5.3624 5.3624 5.3624 Å, 60.00 60.00 60.00°
Last column: nearest neighbours and their distance in Å.
Element x y z (fractional)
1 Fe 0.5000 0.5000 0.5000  4 Sb 3.28, 4 Sr 3.28
2 Sb 0.2500 0.2500 0.2500  4 Sr 3.28, 4 Fe 3.28
3 Sr 0.0000 0.0000 0.0000  4 Sr 3.28, 4 Sb 3.28
4 Sr 0.7500 0.7500 0.7500  4 Fe 3.28, 4 Sr 3.28

**Crystal system**: cubic



(6)
Entry from the Alexandria database: SrFeSb2 after structural relaxation (GGA-PBE).

Cell: 5.5514 5.5514 5.5514 Å, 134.18 109.65 88.09°
Last column: nearest neighbours and their distance in Å.
Element x y z (fractional)
1 Fe 0.2500 0.7500 0.5000  4 Sb 2.63
2 Sb 0.0626 0.0626 0.0000  2 Fe 2.63
3 Sb 0.4374 0.4374 0.0000  2 Fe 2.63
4 Sr 0.7500 0.2500 0.5000  8 Sb 3.30-3.53

**Crystal system**: orthorhombic



(7)
Entry from the Alexandria database: SrFeSb2 after structural relaxation (GGA-PBE).

Cell: 3.7261 3.7261 7.4690 Å, 90.00 90.00 90.00°
Last column: nearest neighbours and their distance in Å.
Element x y z (fractional)
1 Fe 0.5000 0.5000 0.8525  5 Sb 2.68-2.71
2 Sb 0.0000 0.0000 0.9379  4 Fe 2.71
3 Sb 0.5000 0.5000 0.2110  1 Fe 2.68
4 Sr 0.0000 0.0000 0.4986  5 Sb 3.28-3.40

**Crystal system**: tetragonal



(8)
Entry from the Alexandria database: SrFe2Sb after structural relaxation (GGA-PBE).

Cell: 3.9255 4.6989 5.2887 Å, 69.73 90.00 90.00°
Last column: nearest neighbours and their distance in Å.
Element x y z (fractional)
1 Fe 0.0000 0.0390 0.1390  2 Fe 2.24
2 Fe 0.5000 0.2193 0.2190  2 Fe 2.24
3 Sb 0.0000 0.4638 0.3832  4 Fe 2.56-2.73
4 Sr 0.5000 0.7780 0.7587  2 Fe 2.89-2.90

**Crystal system**: monoclinic



(9)
Entry from the Alexandria database: SrFeSb4 after structural relaxation (GGA-PBE).

Cell: 6.2778 6.2778 6.2778 Å, 60.00 60.00 60.00°
Last column: nearest neighbours and their distance in Å.
Element x y z (fractional)
1 Sr 0.7500 0.7500 0.7500  12 Sb 3.68, 4 Fe 3.84
2 Fe 0.0000 0.0000 0.0000  12 Sb 3.68, 4 Sr 3.84
3 Sb 0.8777 0.3741 0.3741  6 Sb 3.12-3.16
4 Sb 0.3741 0.3741 0.8777  6 Sb 3.12-3.16
5 Sb 0.3741 0.8777 0.3741  6 Sb 3.12-3.16
6 Sb 0.3741 0.3741 0.3741  6 Sb 3.12-3.16

**Crystal system**: cubic



(10)
Entry from the Alexandria database: SrFe2Sb after structural relaxation (GGA-PBE).

Cell: 3.5847 3.5800 6.7755 Å, 90.00 90.00 90.00°
Last column: nearest neighbours and their distance in Å.
Element x y z (fractional)
1 Fe 0.0000 0.0000 0.0802  1 Fe 2.30
2 Fe 0.0000 0.0000 0.4198  1 Fe 2.30
3 Sb 0.5000 0.5000 0.2500  8 Fe 2.78
4 Sr 0.5000 0.5000 0.7500  8 Fe 3.38, 2 Sb 3.39, 4 Sr 3.58

**Crystal system**: tetragonal



(11)
Entry from the Alexandria database: SrFe2Sb after structural relaxation (GGA-PBE).

Cell: 5.8390 5.8390 5.8390 Å, 147.43 126.93 63.67°
Last column: nearest neighbours and their distance in Å.
Element x y z (fractional)
1 Fe 0.9436 0.9436 0.0000  2 Fe 2.41
2 Fe 0.7652 0.2652 0.5000  2 Fe 2.41
3 Sb 0.5419 0.5419 0.0000  2 Fe 2.75
4 Sr 0.2493 0.7493 0.5000  8 Fe 3.08-3.45, 2 Sr 3.28, 4 Sb 3.32-3.33

**Crystal system**: orthorhombic



(12)
Entry from the Alexandria database: Sr2FeSb2 after structural relaxation (GGA-PBE).

Cell: 9.7738 9.7738 9.7738 Å, 154.55 154.55 36.31°
Last column: nearest neighbours and their distance in Å.
Element x y z (fractional)
1 Sr 0.6039 0.6039 0.0000  4 Sb 3.46, 4 Fe 3.61, 1 Sr 3.86
2 Sr 0.3961 0.3961 0.0000  4 Sb 3.46, 4 Fe 3.61, 1 Sr 3.86
3 Fe 0.0000 0.0000 0.0000  8 Sr 3.61
4 Sb 0.2500 0.7500 0.5000  4 Sb 3.05
5 Sb 0.7500 0.2500 0.5000  4 Sb 3.05

**Crystal system**: tetragonal



(13)
Entry from the Alexandria database: Sr12Fe4Sb after structural relaxation (GGA-PBE).

Cell: 9.7343 9.7343 9.7343 Å, 109.47 109.47 109.47°
Last column: nearest neighbours and their distance in Å.
Element x y z (fractional)
1 Sb 0.0000 0.0000 0.0000  12 Sr 3.90
2 Fe 0.0000 0.5000 0.0000  6 Sr 2.97
3 Fe 0.5000 0.0000 0.0000  6 Sr 2.97
4 Fe 0.0000 0.0000 0.5000  6 Sr 2.97
5 Fe 0.5000 0.5000 0.5000  6 Sr 2.97
6 Sr 0.2969 0.4769 0.1800  2 Fe 2.97
7 Sr 0.2969 0.1168 0.8200  2 Fe 2.97
8 Sr 0.7031 0.8832 0.1800  2 Fe 2.97
9 Sr 0.7031 0.5231 0.8200  2 Fe 2.97
10 Sr 0.8832 0.1800 0.7031  2 Fe 2.97
11 Sr 0.5231 0.8200 0.7031  2 Fe 2.97
12 Sr 0.4769 0.1800 0.2969  2 Fe 2.97
13 Sr 0.1168 0.8200 0.2969  2 Fe 2.97
14 Sr 0.8200 0.2969 0.1168  2 Fe 2.97
15 Sr 0.1800 0.2969 0.4769  2 Fe 2.97
16 Sr 0.8200 0.7031 0.5231  2 Fe 2.97
17 Sr 0.1800 0.7031 0.8832  2 Fe 2.97

**Crystal system**: cubic



(14)
Entry from the Alexandria database: SrFeSb3 after structural relaxation (GGA-PBE).

Cell: 5.9364 5.9364 5.9364 Å, 90.00 90.00 90.00°
Last column: nearest neighbours and their distance in Å.
Element x y z (fractional)
1 Sb 0.0000 0.5000 0.0000  2 Sr 2.97
2 Sb 0.0000 0.0000 0.5000  2 Sr 2.97
3 Sb 0.5000 0.0000 0.0000  2 Sr 2.97
4 Fe 0.5000 0.5000 0.5000  12 Sb 4.20
5 Sr 0.0000 0.0000 0.0000  6 Sb 2.97

**Crystal system**: cubic



| no. | E_form (uncorrected) (eV per formula unit) | total DFT energy (no corrections) (eV/atom) | M_tot (μB/cell) |
| --- | --- | --- | --- |
| 1 | -0.4 | -4.7089 | 2.44 |
| 2 | 0.2 | -3.9363 | 0.00 |
| 3 | -0.4 | -4.7045 | 1.97 |
| 4 | 0.0 | -4.5927 | 0.00 |
| 5 | 1.0 | -3.7493 | 2.00 |
| 6 | -0.5 | -4.7246 | 2.42 |
| 7 | 0.0 | -4.6017 | 2.39 |
| 8 | 1.0 | -5.4308 | 3.05 |
| 9 | 1.7 | -4.1617 | 3.09 |
| 10 | 1.4 | -5.3363 | 4.86 |
| 11 | 1.4 | -5.3287 | 4.73 |
| 12 | 0.8 | -3.8560 | 2.69 |
| 13 | 6.2 | -3.0557 | 6.86 |
| 14 | 7.0 | -3.1061 | 3.71 |